Entry from the Alexandria database: a relaxed CaTaW crystal (GGA-PBE).

Computed properties:
Its volume is 60.8 Å³ per cell. The density of states at the Fermi level is 3.7 states/eV per cell. As for the energy relative to the elements: 2.32 eV/f.u. The crystal system is tetragonal. The size of the total moment comes out at 0.0 μB per cell. The energy above the most stable polymorph in this dataset comes out at 250 meV per atom.

Lattice parameters (Å, degrees): 8.0950 8.0950 8.0950 160.20 160.20 28.14
Atoms (fractional coordinates):
1 Ca 0.0000 0.0000 0.0000
2 Ta 0.6848 0.6848 0.0000
3 W 0.3314 0.3314 0.0000



Entry from the Alexandria database: a relaxed CaTaW2 crystal (GGA-PBE).

Computed properties:
Its volume is 75.3 Å³ per cell. The density of states at the Fermi level is 4.1 states/eV per cell. As for the energy relative to the elements: 2.06 eV/f.u. The crystal system is orthorhombic. The size of the total moment comes out at 0.0 μB per cell. The energy above the most stable polymorph in this dataset comes out at 29 meV per atom.

Lattice parameters (Å, degrees): 2.8475 2.8475 9.8463 90.00 90.00 109.33
Atoms (fractional coordinates):
1 Ca 0.0000 0.0000 0.0000
2 Ta 0.0000 0.0000 0.5000
3 W 0.5000 0.5000 0.2739
4 W 0.5000 0.5000 0.7261



Entry from the Alexandria database: a relaxed CaTaW2 crystal (GGA-PBE).

Computed properties:
Its volume is 76.7 Å³ per cell. The density of states at the Fermi level is 4.3 states/eV per cell. As for the energy relative to the elements: 2.75 eV/f.u. The crystal system is tetragonal. The size of the total moment comes out at 0.0 μB per cell. The energy above the most stable polymorph in this dataset comes out at 201 meV per atom.

Lattice parameters (Å, degrees): 2.7462 2.7462 10.1706 90.00 90.00 90.00
Atoms (fractional coordinates):
1 Ca 0.0000 0.0000 0.0000
2 Ta 0.5000 0.5000 0.2880
3 W 0.0000 0.0000 0.5140
4 W 0.5000 0.5000 0.7383



Question: Among the records above, which one has the highest energy above the most stable polymorph in this dataset?
Answer: CaTaW



Question: Among the records above, which one has the highest energy relative to the elements?
Answer: number 3



Please write out number 1 again, unchanged.
Entry from the Alexandria database: a relaxed CaTaW crystal (GGA-PBE).

Computed properties:
Its volume is 60.8 Å³ per cell. The density of states at the Fermi level is 3.7 states/eV per cell. As for the energy relative to the elements: 2.32 eV/f.u. The crystal system is tetragonal. The size of the total moment comes out at 0.0 μB per cell. The energy above the most stable polymorph in this dataset comes out at 250 meV per atom.

Lattice parameters (Å, degrees): 8.0950 8.0950 8.0950 160.20 160.20 28.14
Atoms (fractional coordinates):
1 Ca 0.0000 0.0000 0.0000
2 Ta 0.6848 0.6848 0.0000
3 W 0.3314 0.3314 0.0000